(1)
DFT (GGA-PBEsol) results for a geometry-optimized YCd2Cl structure.

The structure in extended XYZ format:
```
4
Lattice="3.4279 0.0000 0.0000 0.0000 5.0970 0.0000 0.0000 0.0000 5.5498" Properties=species:S:1:pos:R:3 pbc="T T T"
Y 1.7140 2.5485 1.5704
Cd 0.0000 2.5485 4.3785
Cd 0.0000 0.0000 5.5258
Cl 1.7140 0.0000 2.3996
```

Values from the calculation:
Crystal system   orthorhombic
Size of the total moment   0.000 μB/f.u.
Total DFT energy (no corrections)   -3.39 eV per atom
Energy relative to the elements, uncorrected   -2.347 eV/f.u.
Energy above the most stable polymorph in this dataset   4 kJ/mol of formula units

---

(2)
DFT (GGA-PBEsol) results for a geometry-optimized SiAgBr3 structure.

The structure in extended XYZ format:
```
5
Lattice="-3.2082 3.5374 -1.7826 -1.2738 -3.0934 -3.8460 -3.7508 -1.9751 2.8309" Properties=species:S:1:pos:R:3 pbc="T T T"
Si 0.0000 0.0000 0.0000
Ag -4.1164 -0.7656 -1.3989
Br -0.6369 -1.5467 -1.9230
Br -1.6041 1.7687 -0.8913
Br -1.8754 -0.9876 1.4155
```

Values from the calculation:
Crystal system   cubic
Size of the total moment   0.000 μB/f.u.
Total DFT energy (no corrections)   -2.95 eV per atom
Energy relative to the elements, uncorrected   -0.062 eV/f.u.

---

(3)
DFT (GGA-PBEsol) results for a geometry-optimized KTcHg2 structure.

The structure in extended XYZ format:
```
4
Lattice="2.8622 0.0366 0.0000 -0.0403 2.8622 0.0000 0.0000 0.0000 10.3226" Properties=species:S:1:pos:R:3 pbc="T T T"
Hg 1.4110 1.4494 7.8953
Hg 0.0000 0.0000 0.2134
Tc 1.4110 1.4494 2.2955
K 0.0000 0.0000 5.0797
```

Values from the calculation:
Calculated formation energy   2.66 eV per formula unit
Crystal system   tetragonal
Size of the total moment   0.000 μB/f.u.
Total DFT energy (no corrections)   -2.72 eV per atom
Energy above the most stable polymorph in this dataset   31 kJ/mol of formula units

---

(4)
DFT (GGA-PBEsol) results for a geometry-optimized Na3BO3 structure.

The structure in extended XYZ format:
```
28
Lattice="-4.4324 -3.1105 -1.7156 4.3173 -6.0537 -0.1782 -1.5566 -1.3381 7.7433" Properties=species:S:1:pos:R:3 pbc="T T T"
O -1.2264 -6.9058 3.5720
B -3.1384 -3.8741 5.5541
Na -0.4699 -3.0554 5.3398
Na -2.1195 -4.8091 3.2965
O -3.8588 -4.9340 1.8580
Na 0.4993 -6.9299 5.2282
O 0.6007 -6.2464 -0.7319
B 1.4667 -6.6282 0.2953
O 1.0844 -4.7322 5.9669
O 1.0861 -7.6371 1.1780
O 2.6445 -5.9103 0.5220
Na 0.0184 -8.9615 2.7496
Na -1.2019 -7.4469 0.5096
Na -2.1711 -3.5724 0.6212
O -2.7561 -5.7701 -0.1175
Na 1.0851 -4.0339 -0.1846
B -2.2952 -7.7765 3.3408
O -0.4454 -3.5965 2.2774
Na -1.6901 -1.5409 3.0998
O -2.2724 -4.2560 6.5813
B 0.6235 -2.7258 2.5086
O -2.7578 -2.8653 4.6714
O 2.1870 -5.5683 3.9914
Na 0.0095 -1.3711 0.3184
Na 0.4478 -5.6932 2.5529
Na -2.7568 -6.4684 6.0340
O -4.3162 -4.5921 5.3274
Na -1.6812 -9.1313 5.5310
```

Values from the calculation:
Crystal system   monoclinic
Size of the total moment   0.000 μB/f.u.
Total DFT energy (no corrections)   -5.82 eV per atom
Energy relative to the elements, uncorrected   -13.770 eV/f.u.

---

(5)
DFT (GGA-PBEsol) results for a geometry-optimized ZrAg2Hg structure.

The structure in extended XYZ format:
```
4
Lattice="2.9990 0.0321 0.0000 -0.0307 2.9991 0.0000 0.0000 0.0000 8.3507" Properties=species:S:1:pos:R:3 pbc="T T T"
Ag 0.0000 0.0000 2.1038
Hg 1.4842 1.5156 4.1753
Zr 1.4842 1.5156 0.0000
Ag 0.0000 0.0000 6.2469
```

Values from the calculation:
Calculated formation energy   -0.17 eV per formula unit
Crystal system   tetragonal
Size of the total moment   0.000 μB/f.u.
Total DFT energy (no corrections)   -4.11 eV per atom

---

(6)
DFT (GGA-PBEsol) results for a geometry-optimized Te4AsCl structure.

The structure in extended XYZ format:
```
6
Lattice="6.1091 0.0000 0.0000 3.0546 5.2907 0.0000 3.0546 1.7636 4.9881" Properties=species:S:1:pos:R:3 pbc="T T T"
As 9.1637 5.2907 3.7411
Te 6.1091 3.5271 4.3549
Cl 0.0000 0.0000 0.0000
Te 6.1091 5.2815 1.8738
Te 7.6285 2.6499 1.8738
Te 4.5898 2.6499 1.8738
```

Values from the calculation:
Crystal system   cubic
Size of the total moment   0.880 μB/f.u.
Total DFT energy (no corrections)   -3.11 eV per atom
Energy relative to the elements, uncorrected   2.579 eV/f.u.

---

(7)
DFT (GGA-PBEsol) results for a geometry-optimized SrLaY structure.

The structure in extended XYZ format:
```
3
Lattice="3.6654 0.0000 0.0000 0.0000 5.2737 0.0000 -1.8327 -2.6369 5.7288" Properties=species:S:1:pos:R:3 pbc="T T T"
Sr 1.8327 2.6369 1.9335
Y 0.0000 0.0000 3.9254
La 1.8327 2.6369 5.5986
```

Values from the calculation:
Calculated formation energy   0.57 eV per formula unit
Crystal system   orthorhombic
Size of the total moment   0.000 μB/f.u.
Total DFT energy (no corrections)   -4.48 eV per atom

---

(8)
DFT (GGA-PBEsol) results for a geometry-optimized Cd3AuC structure.

The structure in extended XYZ format:
```
5
Lattice="-2.4697 3.4743 1.4271 -0.1378 -1.7907 4.1209 3.7535 2.2203 1.0904" Properties=species:S:1:pos:R:3 pbc="T T T"
Au 0.5730 1.9520 3.3192
Cd 1.8767 1.1101 0.5452
Cd -1.2349 1.7372 0.7136
Cd -0.0689 -0.8953 2.0604
C 0.0000 0.0000 0.0000
```

Values from the calculation:
Calculated formation energy   3.22 eV per formula unit
Crystal system   cubic
Size of the total moment   0.000 μB/f.u.
Total DFT energy (no corrections)   -2.79 eV per atom
Energy above the most stable polymorph in this dataset   0 kJ/mol of formula units